A:
BeAl2Ru2: relaxed, PBE-GGA.

As for the density of states at the Fermi level: 0.340 states/eV per atom. Its calculated volume is 13.61 Å³ per atom.

The space group is P4/mbm (No. 127) and the conventional cell measures 6.635, 6.635 and 3.090 Å, with angles of 90.00, 90.00 and 90.00 degrees. Symmetry generates all atoms from Be at (0.000, 0.000, 0.000), Al at (0.137, 0.363, 0.000) and Ru at (0.163, 0.663, 0.500).

---

B:
BeAl2Ru2: relaxed, PBE-GGA.

As for the density of states at the Fermi level: 0.143 states/eV per atom. Its calculated volume is 13.77 Å³ per atom.

The space group is P4/mbm (No. 127) and the conventional cell measures 6.379, 6.379 and 3.383 Å, with angles of 90.00, 90.00 and 90.00 degrees. Symmetry generates all atoms from Be at (0.000, 0.000, 0.000), Al at (0.148, 0.352, 0.500) and Ru at (0.157, 0.657, 0.000).

---

C:
BeAl2Ru2: relaxed, PBE-GGA.

As for the density of states at the Fermi level: 0.862 states/eV per atom. Its calculated volume is 14.81 Å³ per atom.

The space group is I4/mmm (No. 139) and the conventional cell measures 3.454, 3.454 and 12.414 Å, with angles of 90.00, 90.00 and 90.00 degrees. Symmetry generates all atoms from Be at (0.000, 0.000, 0.000), Al at (0.000, 0.500, 0.250) and Ru at (0.000, 0.000, 0.399).

---

What should be chosen as the most stable of them? Choose B.